BeTe2IN | PBE | optimized geometry

abc: 5.936 5.936 3.170
angles: 90.00 90.00 90.00
Sites, in units of the cell vectors:
I: 0.500 0.500 0.500
Be: 0.000 0.000 0.000
Te: 0.000 0.500 0.000
Te: 0.500 0.000 0.000
N: 0.000 0.000 0.500

Calculated density ... 6.02 g cm⁻³
Fermi-level density of states ... 4.52 states/eV per cell
Excess energy over the best structure of this formula in the dataset ... 0.0000 eV/atom